# Li2Mg2AlPt2Pb PBE optimized geometry
data_Li2Mg2AlPt2Pb
_chemical_formula_sum 'Li2 Mg2 Al1 Pt2 Pb1'
_space_group_name_H-M_alt 'P -4 m 2'
_space_group_IT_number 115
_space_group_name_Hall 'P -4 -2'
_cell_length_a 4.486
_cell_length_b 4.486
_cell_length_c 6.610
_cell_angle_alpha 90.00
_cell_angle_beta 90.00
_cell_angle_gamma 90.00
loop_
_atom_site_label
_atom_site_type_symbol
_atom_site_fract_x
_atom_site_fract_y
_atom_site_fract_z
_atom_site_occupancy
Li1 Li 0.000 0.500 0.228 1
Mg1 Mg 0.000 0.000 0.000 1
Mg2 Mg 0.500 0.500 0.500 1
Al1 Al 0.500 0.500 0.000 1
Pt1 Pt 0.000 0.500 0.783 1
Pb1 Pb 0.000 0.000 0.500 1
# * total magnetic moment: 0.002 μB per formula unit
# * uncorrected energy: -31.41 eV/cell
# * calculated volume: 16.6 Å³ per atom


# ZrNb2Co PBE optimized geometry
data_ZrNb2Co
_chemical_formula_sum 'Zr4 Nb8 Co4'
_space_group_name_H-M_alt 'F -4 3 m'
_space_group_IT_number 216
_space_group_name_Hall 'F -4 2 3'
_cell_length_a 6.463
_cell_length_b 6.463
_cell_length_c 6.463
_cell_angle_alpha 90.00
_cell_angle_beta 90.00
_cell_angle_gamma 90.00
loop_
_atom_site_label
_atom_site_type_symbol
_atom_site_fract_x
_atom_site_fract_y
_atom_site_fract_z
_atom_site_occupancy
Zr1 Zr 0.000 0.000 0.000 1
Nb1 Nb 0.000 0.000 0.500 1
Nb2 Nb 0.250 0.250 0.750 1
Co1 Co 0.250 0.250 0.250 1
# * total magnetic moment: 0.002 μB per formula unit
# * uncorrected energy: -143.17 eV/cell
# * calculated volume: 16.9 Å³ per atom
# * E_form: 1 kJ/mol of atoms


> Look up the uncorrected energy of the second one.

-143.17 eV/cell


Copy entry 2 word for word.
# ZrNb2Co PBE optimized geometry
data_ZrNb2Co
_chemical_formula_sum 'Zr4 Nb8 Co4'
_space_group_name_H-M_alt 'F -4 3 m'
_space_group_IT_number 216
_space_group_name_Hall 'F -4 2 3'
_cell_length_a 6.463
_cell_length_b 6.463
_cell_length_c 6.463
_cell_angle_alpha 90.00
_cell_angle_beta 90.00
_cell_angle_gamma 90.00
loop_
_atom_site_label
_atom_site_type_symbol
_atom_site_fract_x
_atom_site_fract_y
_atom_site_fract_z
_atom_site_occupancy
Zr1 Zr 0.000 0.000 0.000 1
Nb1 Nb 0.000 0.000 0.500 1
Nb2 Nb 0.250 0.250 0.750 1
Co1 Co 0.250 0.250 0.250 1
# * total magnetic moment: 0.002 μB per formula unit
# * uncorrected energy: -143.17 eV/cell
# * calculated volume: 16.9 Å³ per atom
# * E_form: 1 kJ/mol of atoms


> What is the total magnetic moment in the second record?

0.002 μB per formula unit